A plane-wave DFT calculation with PBE was carried out for an optimized crystal structure of NaCdSbPd.

a b c (Å): 6.8758 6.8758 6.8758
angles (deg): 90.00 90.00 90.00
Space group F-43m (No. 216)
Asymmetric unit:
Na  0.0000  0.0000  0.0000 (multiplicity 4)
Cd  0.2500  0.2500  0.7500 (multiplicity 4)
Sb  0.2500  0.2500  0.2500 (multiplicity 4)
Pd  0.0000  0.0000  0.5000 (multiplicity 4)

E_form (uncorrected): -0.248 eV per atom
total magnetization: 0.0 μB/cell
calculated total energy: -50.16 eV per cell